Entry 1:
First-principles (PBE) data for a relaxed structure of Nd4Er15Th, as listed in Alexandria.

Summary:
The crystal system is tetragonal. For the formation energy, the calculation gives 0.025 eV per atom. Its density of states at the Fermi level is 28.33 states/eV/cell.

```
data_Nd4Er15Th
_symmetry_space_group_name_H-M 'P 4/m m m'
_symmetry_Int_Tables_number 123
_symmetry_space_group_name_Hall '-P 4 2'
_cell_length_a 5.023
_cell_length_b 5.023
_cell_length_c 24.982
_cell_angle_alpha 90.00
_cell_angle_beta 90.00
_cell_angle_gamma 90.00
loop_
_atom_site_label
_atom_site_type_symbol
_atom_site_fract_x
_atom_site_fract_y
_atom_site_fract_z
_atom_site_occupancy
Nd1 Nd 0.000 0.000 0.100 1
Nd2 Nd 0.000 0.000 0.301 1
Er1 Er 0.000 0.500 0.000 1
Er2 Er 0.000 0.500 0.201 1
Er3 Er 0.000 0.500 0.402 1
Er4 Er 0.500 0.500 0.101 1
Er5 Er 0.500 0.500 0.301 1
Er6 Er 0.500 0.500 0.500 1
Th1 Th 0.000 0.000 0.500 1
```

Entry 2:
First-principles (PBE) data for a relaxed structure of PPtBr2, as listed in Alexandria.

Summary:
The crystal system is orthorhombic. For the uncorrected formation energy, the calculation gives -1.6 kcal/mol of atoms. Its density of states at the Fermi level is 3.64 states/eV/cell.

```
data_PPtBr2
_symmetry_space_group_name_H-M 'P m m 2'
_symmetry_Int_Tables_number 25
_symmetry_space_group_name_Hall 'P 2 -2'
_cell_length_a 3.275
_cell_length_b 3.290
_cell_length_c 8.896
_cell_angle_alpha 90.00
_cell_angle_beta 90.00
_cell_angle_gamma 90.00
loop_
_atom_site_label
_atom_site_type_symbol
_atom_site_fract_x
_atom_site_fract_y
_atom_site_fract_z
_atom_site_occupancy
P1 P 0.000 0.000 0.000 1
Pt1 Pt 0.500 0.500 0.915 1
Br1 Br 0.000 0.000 0.247 1
Br2 Br 0.500 0.500 0.613 1
```